# 1
## SrTmHg4 (PBE)

Data for SrTmHg4 after structural relaxation.

Values from the calculation:
Its space group is C2/m (12). The formation enthalpy at 0 K is -0.3833 eV per atom.

Cell: 5.6549 5.6549 8.2558 Å, 109.16 109.16 40.56°
Last column: nearest neighbours and their distance in Å.
Element x y z (fractional)
1 Sr 0.0000 0.0000 0.0000  10 Hg 3.35-3.44
2 Tm 0.0000 0.0000 0.5000  10 Hg 3.18-3.29
3 Hg 0.3314 0.3314 0.6486  5 Hg 3.14-3.32, 3 Tm 3.18-3.29, 2 Sr 3.44
4 Hg 0.3350 0.3350 0.1938  2 Tm 3.19, 3 Hg 3.20-3.32, 3 Sr 3.35-3.38
5 Hg 0.6650 0.6650 0.8062  2 Tm 3.19, 3 Hg 3.20-3.32, 3 Sr 3.35-3.38
6 Hg 0.6686 0.6686 0.3514  5 Hg 3.14-3.32, 3 Tm 3.18-3.29, 2 Sr 3.44

# 2
## CaSc2CdO (PBE)

Data for CaSc2CdO after structural relaxation.

Values from the calculation:
Its space group is P4/mmm (123). The energy relative to the elements, uncorrected comes out at -1.2827 eV/atom.

Cell: 4.4971 4.4971 4.8089 Å, 90.00 90.00 90.00°
Last column: nearest neighbours and their distance in Å.
Element x y z (fractional)
1 Ca 0.0000 0.0000 0.0000  2 O 2.40
2 Sc 0.0000 0.5000 0.5000  2 O 2.25
3 Sc 0.5000 0.0000 0.5000  2 O 2.25
4 Cd 0.5000 0.5000 0.0000  4 Ca 3.18, 8 Sc 3.29
5 O 0.0000 0.0000 0.5000  4 Sc 2.25, 2 Ca 2.40

# 3
## Dy8Ho4Tm3 (PBE)

Data for Dy8Ho4Tm3 after structural relaxation.

Values from the calculation:
Its space group is R-3m (166). The formation enthalpy at 0 K is 0.1486 eV per atom.

Cell: 12.2980 12.2980 12.2980 Å, 32.38 32.38 32.38°
Last column: nearest neighbours and their distance in Å.
Element x y z (fractional)
1 Dy 0.2448 0.2448 0.2448  1 Ho 3.19, 3 Tm 3.37, 6 Dy 3.43
2 Dy 0.2476 0.7502 0.7502  6 Dy 3.41-3.45, 3 Ho 3.46-3.53, 2 Tm 3.50
3 Dy 0.2498 0.2498 0.7524  6 Dy 3.41-3.45, 3 Ho 3.46-3.53, 2 Tm 3.50
4 Dy 0.2498 0.7524 0.2498  6 Dy 3.41-3.45, 3 Ho 3.46-3.53, 2 Tm 3.50
5 Dy 0.7502 0.2476 0.7502  6 Dy 3.41-3.45, 3 Ho 3.46-3.53, 2 Tm 3.50
6 Dy 0.7502 0.7502 0.2476  6 Dy 3.41-3.45, 3 Ho 3.46-3.53, 2 Tm 3.50
7 Dy 0.7524 0.2498 0.2498  6 Dy 3.41-3.45, 3 Ho 3.46-3.53, 2 Tm 3.50
8 Dy 0.7552 0.7552 0.7552  1 Ho 3.19, 3 Tm 3.37, 6 Dy 3.43
9 Ho 0.0000 0.0000 0.0000  6 Dy 3.53
10 Ho 0.3362 0.3362 0.3362  4 Dy 3.19-3.46
11 Ho 0.5000 0.5000 0.5000  6 Tm 3.43, 6 Dy 3.51
12 Ho 0.6638 0.6638 0.6638  4 Dy 3.19-3.46
13 Tm 0.0000 0.0000 0.5000  6 Dy 3.37-3.50, 2 Ho 3.43, 4 Tm 3.43
14 Tm 0.0000 0.5000 0.0000  6 Dy 3.37-3.50, 4 Tm 3.43, 2 Ho 3.43
15 Tm 0.5000 0.0000 0.0000  6 Dy 3.37-3.50, 4 Tm 3.43, 2 Ho 3.43

# 4
## Pr4NdSm7 (PBE)

Data for Pr4NdSm7 after structural relaxation.

Values from the calculation:
Its space group is P-1 (2). The formation enthalpy at 0 K is 0.0116 eV per atom.

Cell: 6.3872 7.3764 9.1241 Å, 90.03 103.48 90.00°
Last column: nearest neighbours and their distance in Å.
Element x y z (fractional)
1 Pr 0.2222 0.2514 0.1677  1 Nd 3.63, 8 Sm 3.64-3.71, 3 Pr 3.67-3.70
2 Pr 0.2767 0.0001 0.8311  8 Sm 3.63-3.70, 4 Pr 3.67-3.70
3 Pr 0.7233 0.9999 0.1689  8 Sm 3.63-3.70, 4 Pr 3.67-3.70
4 Pr 0.7778 0.7486 0.8323  1 Nd 3.63, 8 Sm 3.64-3.71, 3 Pr 3.67-3.70
5 Nd 0.5000 0.5000 0.5000  10 Sm 3.62-3.69, 2 Pr 3.63
6 Sm 0.9998 0.2512 0.5008  7 Sm 3.62-3.71, 3 Pr 3.63-3.64, 2 Nd 3.68-3.69
7 Sm 0.0002 0.7488 0.4992  7 Sm 3.62-3.71, 3 Pr 3.63-3.64, 2 Nd 3.68-3.69
8 Sm 0.2229 0.7484 0.1688  5 Sm 3.62-3.69, 1 Nd 3.62, 6 Pr 3.67-3.71
9 Sm 0.2782 0.4997 0.8313  6 Sm 3.62-3.69, 1 Nd 3.63, 5 Pr 3.66-3.69
10 Sm 0.5000 0.0000 0.5000  4 Pr 3.63-3.64, 6 Sm 3.63-3.69, 2 Nd 3.69
11 Sm 0.7218 0.5003 0.1687  6 Sm 3.62-3.69, 1 Nd 3.63, 5 Pr 3.66-3.69
12 Sm 0.7771 0.2516 0.8312  5 Sm 3.62-3.69, 1 Nd 3.62, 6 Pr 3.67-3.71

# 5
## SmBeP (PBE)

Data for SmBeP after structural relaxation.

Values from the calculation:
Its space group is P6_222 (180). The formation enthalpy at 0 K is 0.3328 eV per atom.

Cell: 5.8600 5.8600 12.2384 Å, 90.00 90.00 120.00°
Last column: nearest neighbours and their distance in Å.
Element x y z (fractional)
1 Sm 0.0000 0.5000 0.3854  4 Be 2.58-2.84
2 Sm 0.0000 0.5000 0.9479  4 Be 2.58-2.84
3 Sm 0.5000 0.0000 0.2812  4 Be 2.58-2.84
4 Sm 0.5000 0.0000 0.7188  4 Be 2.58-2.84
5 Sm 0.5000 0.5000 0.0521  4 Be 2.58-2.84
6 Sm 0.5000 0.5000 0.6146  4 Be 2.58-2.84
7 Be 0.1862 0.5931 0.1667  1 Be 1.89
8 Be 0.4069 0.5931 0.8333  1 Be 1.89
9 Be 0.4069 0.8138 0.5000  1 Be 1.89
10 Be 0.5931 0.1862 0.5000  1 Be 1.89
11 Be 0.5931 0.4069 0.8333  1 Be 1.89
12 Be 0.8138 0.4069 0.1667  1 Be 1.89
13 P 0.0000 0.0000 0.1667  4 Be 3.08, 4 Sm 3.25
14 P 0.0000 0.0000 0.5000  4 Be 3.08, 4 Sm 3.25
15 P 0.0000 0.0000 0.8333  4 Be 3.08, 4 Sm 3.25
16 P 0.0000 0.5000 0.6667  4 Be 2.97, 4 Sm 3.00
17 P 0.5000 0.0000 0.0000  4 Be 2.97, 4 Sm 3.00
18 P 0.5000 0.5000 0.3333  4 Be 2.97, 4 Sm 3.00

# 6
## YTm2Al2 (PBE)

Data for YTm2Al2 after structural relaxation.

Values from the calculation:
Its space group is P2_1/m (11). The formation enthalpy at 0 K is -0.3246 eV per atom.

Cell: 3.5987 5.1100 13.3902 Å, 90.00 97.73 90.00°
Last column: nearest neighbours and their distance in Å.
Element x y z (fractional)
1 Y 0.1448 0.2500 0.2913  6 Al 3.13-3.14, 2 Tm 3.46
2 Y 0.8552 0.7500 0.7087  6 Al 3.13-3.14, 2 Tm 3.46
3 Tm 0.0467 0.7500 0.0936  8 Al 3.07-3.13
4 Tm 0.2335 0.7500 0.4676  2 Al 3.06, 4 Tm 3.24
5 Tm 0.7665 0.2500 0.5324  2 Al 3.06, 4 Tm 3.24
6 Tm 0.9533 0.2500 0.9064  8 Al 3.07-3.13
7 Al 0.3598 0.2500 0.7186  4 Tm 3.06-3.08, 4 Y 3.13
8 Al 0.4513 0.7500 0.9025  6 Tm 3.11-3.13, 2 Y 3.14
9 Al 0.5487 0.2500 0.0975  6 Tm 3.11-3.13, 2 Y 3.14
10 Al 0.6402 0.7500 0.2814  4 Tm 3.06-3.08, 4 Y 3.13

# 7
## Pa2Re3Ge (PBE)

Data for Pa2Re3Ge after structural relaxation.

Values from the calculation:
Its space group is P6_3/mmc (194). The formation enthalpy at 0 K is -0.2368 eV per atom.

Cell: 5.4613 5.4613 8.6466 Å, 90.00 90.00 120.00°
Last column: nearest neighbours and their distance in Å.
Element x y z (fractional)
1 Pa 0.3333 0.6667 0.0798  1 Pa 2.94, 9 Re 3.10-3.23, 3 Ge 3.23
2 Pa 0.3333 0.6667 0.4202  1 Pa 2.94, 9 Re 3.10-3.23, 3 Ge 3.23
3 Pa 0.6667 0.3333 0.5798  1 Pa 2.94, 9 Re 3.10-3.23, 3 Ge 3.23
4 Pa 0.6667 0.3333 0.9202  1 Pa 2.94, 9 Re 3.10-3.23, 3 Ge 3.23
5 Re 0.1723 0.3446 0.7500  4 Re 2.64-2.82, 2 Ge 2.71
6 Re 0.1723 0.8277 0.7500  4 Re 2.64-2.82, 2 Ge 2.71
7 Re 0.3446 0.1723 0.2500  4 Re 2.64-2.82, 2 Ge 2.71
8 Re 0.6554 0.8277 0.7500  4 Re 2.64-2.82, 2 Ge 2.71
9 Re 0.8277 0.1723 0.2500  4 Re 2.64-2.82, 2 Ge 2.71
10 Re 0.8277 0.6554 0.2500  4 Re 2.64-2.82, 2 Ge 2.71
11 Ge 0.0000 0.0000 0.0000  6 Re 2.71
12 Ge 0.0000 0.0000 0.5000  6 Re 2.71

# 8
## YHo2Cd2 (PBE)

Data for YHo2Cd2 after structural relaxation.

Values from the calculation:
Its space group is P2_1/m (11). The formation enthalpy at 0 K is -0.2696 eV per atom.

Cell: 3.7171 5.3265 13.8238 Å, 90.00 97.75 90.00°
Last column: nearest neighbours and their distance in Å.
Element x y z (fractional)
1 Y 0.1490 0.2500 0.2970  6 Cd 3.25-3.27, 2 Ho 3.58
2 Y 0.8510 0.7500 0.7030  6 Cd 3.25-3.27, 2 Ho 3.58
3 Ho 0.0460 0.7500 0.0916  8 Cd 3.20-3.25
4 Ho 0.2357 0.7500 0.4721  2 Cd 3.19-3.20, 4 Ho 3.33-3.34
5 Ho 0.7643 0.2500 0.5279  2 Cd 3.19-3.20, 4 Ho 3.33-3.34
6 Ho 0.9540 0.2500 0.9084  8 Cd 3.20-3.25
7 Cd 0.3587 0.2500 0.7177  4 Ho 3.19-3.21, 4 Y 3.25
8 Cd 0.4494 0.7500 0.8990  6 Ho 3.23-3.25, 2 Y 3.26-3.27
9 Cd 0.5506 0.2500 0.1010  6 Ho 3.23-3.25, 2 Y 3.26-3.27
10 Cd 0.6413 0.7500 0.2823  4 Ho 3.19-3.21, 4 Y 3.25

# 9
## LiAu2Se (PBE)

Data for LiAu2Se after structural relaxation.

Values from the calculation:
Its space group is Cm (8). The energy relative to the elements, uncorrected comes out at -0.2608 eV/atom.

Cell: 4.6539 4.6539 6.4799 Å, 94.49 94.49 35.33°
Last column: nearest neighbours and their distance in Å.
Element x y z (fractional)
1 Li 0.0000 0.0000 0.0000  3 Se 2.63-2.74, 2 Au 2.78, 2 Li 2.82
2 Au 0.3050 0.3050 0.2357  5 Au 2.70-2.89, 3 Li 2.78-3.00
3 Au 0.5800 0.5800 0.4491  1 Se 2.63, 5 Au 2.70-2.89
4 Se 0.7070 0.7070 0.8299  1 Au 2.63, 3 Li 2.63-2.74, 2 Se 2.82

# 10
## Sm4TlPd2 (PBE)

Data for Sm4TlPd2 after structural relaxation.

Values from the calculation:
Its space group is R-3m (166). The formation enthalpy at 0 K is -0.4329 eV per atom.

Cell: 10.1502 10.1502 10.1502 Å, 27.89 27.89 27.89°
Last column: nearest neighbours and their distance in Å.
Element x y z (fractional)
1 Sm 0.1160 0.1160 0.1160  3 Tl 3.19, 3 Pd 3.19
2 Sm 0.2964 0.2964 0.2964  4 Pd 2.94-2.99
3 Sm 0.7036 0.7036 0.7036  4 Pd 2.94-2.99
4 Sm 0.8840 0.8840 0.8840  3 Tl 3.19, 3 Pd 3.19
5 Tl 0.5000 0.5000 0.5000  2 Pd 2.97, 6 Sm 3.19
6 Pd 0.3986 0.3986 0.3986  7 Sm 2.94-3.19, 1 Tl 2.97
7 Pd 0.6014 0.6014 0.6014  7 Sm 2.94-3.19, 1 Tl 2.97

# 11
## CdPbAu2 (PBE)

Data for CdPbAu2 after structural relaxation.

Values from the calculation:
Its space group is P4mm (99). The formation enthalpy at 0 K is -0.0385 eV per atom.

Cell: 3.5657 3.5657 7.1004 Å, 90.00 90.00 90.00°
Last column: nearest neighbours and their distance in Å.
Element x y z (fractional)
1 Cd 0.0000 0.0000 0.0000  5 Au 2.91-2.98
2 Pb 0.5000 0.5000 0.3313  5 Au 3.08-3.29, 4 Cd 3.45
3 Au 0.0000 0.0000 0.5802  4 Au 2.95, 1 Cd 2.98, 4 Pb 3.08
4 Au 0.5000 0.5000 0.7947  4 Cd 2.91, 4 Au 2.95

# 12
## LaDy2Cd8 (PBE)

Data for LaDy2Cd8 after structural relaxation.

Values from the calculation:
Its space group is C2/m (12). The formation enthalpy at 0 K is -0.2800 eV per atom.

Cell: 9.0402 9.0402 5.3502 Å, 107.20 107.20 125.07°
Last column: nearest neighbours and their distance in Å.
Element x y z (fractional)
1 La 0.0000 0.0000 0.0000  6 Cd 3.26-3.47
2 Dy 0.3094 0.6906 0.5000  12 Cd 3.17-3.34
3 Dy 0.6906 0.3094 0.5000  12 Cd 3.17-3.34
4 Cd 0.1012 0.3646 0.7326  6 Cd 2.98-3.27, 3 Dy 3.22-3.31
5 Cd 0.2033 0.7967 0.0000  6 Cd 3.15-3.27, 4 Dy 3.17-3.21, 1 La 3.26
6 Cd 0.3646 0.1012 0.7326  6 Cd 2.98-3.27, 3 Dy 3.22-3.31
7 Cd 0.4998 0.4998 0.2505  2 Cd 2.67-2.68
8 Cd 0.5002 0.5002 0.7495  2 Cd 2.67-2.68
9 Cd 0.6354 0.8988 0.2674  6 Cd 2.98-3.27, 3 Dy 3.22-3.31
10 Cd 0.7967 0.2033 0.0000  6 Cd 3.15-3.27, 4 Dy 3.17-3.21, 1 La 3.26
11 Cd 0.8988 0.6354 0.2674  6 Cd 2.98-3.27, 3 Dy 3.22-3.31

no.,total energy (eV/atom),magnetization (Bohr magnetons per cell)
1,-1.6100,0.0
2,-5.3903,0.0
3,-4.4209,0.0
4,-4.7317,0.0
5,-4.2856,0.0
6,-4.9031,0.0
7,-10.3957,0.0
8,-3.7596,0.0
9,-3.2491,0.0
10,-4.9513,0.0
11,-2.8331,0.0
12,-2.2302,0.0